[1]
The following is a DFT calculation (PBE) of crystalline HfMgO3 at its relaxed geometry.

Cell and atoms, written as POSCAR:
```
HfMgO3
1.0
-3.273 -1.385 -1.918
0.277 -3.476 2.037
-2.349 1.519 2.913
Hf O Mg
1 3 1
Direct
0.000 0.000 0.000
0.000 0.500 0.000
0.500 0.000 0.000
0.000 0.000 0.500
0.500 0.500 0.500
```

Values from the calculation:
SG ... No. 221
Calculated volume ... 13.2 A^3/atom
Raw formation energy ... -2.621 eV/atom

[2]
The following is a DFT calculation (PBE) of crystalline LiTa2Te at its relaxed geometry.

Cell and atoms, written as POSCAR:
```
LiTa2Te
1.0
-2.721 -1.361 3.631
1.340 -4.297 -3.802
2.570 -1.494 1.156
Li Te Ta
1 1 2
Direct
0.500 0.500 0.000
0.000 0.500 0.500
0.500 0.000 0.500
0.000 0.000 0.000
```

Values from the calculation:
SG ... No. 12
Calculated volume ... 19.3 A^3/atom
Raw formation energy ... 0.354 eV/atom

[3]
The following is a DFT calculation (PBE) of crystalline Pm3Zn4Rh2 at its relaxed geometry.

Cell and atoms, written as POSCAR:
```
Pm3Zn4Rh2
1.0
-1.984 3.518 1.461
-5.928 -0.663 -0.140
-2.720 -2.115 7.711
Zn Pm Rh
4 3 2
Direct
0.030 0.310 0.630
0.970 0.690 0.370
0.282 0.384 0.052
0.718 0.616 0.948
0.000 0.000 0.000
0.685 0.277 0.354
0.315 0.723 0.646
0.395 0.943 0.266
0.605 0.057 0.734
```

Values from the calculation:
Polymorph energy (0 for the lowest one) ... 0 meV per atom
SG ... No. 12
Calculated volume ... 21.0 A^3/atom
Energy relative to the elements ... -0.5342 eV per atom

[4]
The following is a DFT calculation (PBE) of crystalline AcNd2UP4 at its relaxed geometry.

Cell and atoms, written as POSCAR:
```
AcNd2UP4
1.0
-1.750 -2.085 -5.252
1.015 -5.525 1.855
-5.198 3.452 3.693
P U Nd Ac
4 1 2 1
Direct
0.244 0.244 0.489
0.514 0.014 0.028
0.986 0.486 0.972
0.756 0.756 0.511
0.750 0.250 0.500
0.000 0.000 0.000
0.250 0.750 0.500
0.500 0.500 0.000
```

Values from the calculation:
SG ... No. 119
Calculated volume ... 25.9 A^3/atom
Energy relative to the elements ... -1.3030 eV per atom

[5]
The following is a DFT calculation (PBE) of crystalline BaH2O2 at its relaxed geometry.

Cell and atoms, written as POSCAR:
```
BaH2O2
1.0
5.430 0.430 0.000
0.208 5.442 0.000
-2.819 -2.936 4.071
Ba O H
2 4 4
Direct
0.250 0.750 0.000
0.750 0.250 0.000
0.640 0.640 0.781
0.360 0.360 0.219
0.140 0.141 0.500
0.860 0.859 0.500
0.570 0.569 0.500
0.931 0.931 0.362
0.069 0.069 0.638
0.430 0.431 0.500
```

Values from the calculation:
SG ... No. 140
Calculated volume ... 12.0 A^3/atom
Electronic total energy ... -5.087 eV/atom

[6]
The following is a DFT calculation (PBE) of crystalline Ba3InB3O9 at its relaxed geometry.

Cell and atoms, written as POSCAR:
```
Ba3InB3O9
1.0
-4.181 6.955 -0.377
-0.688 -3.393 -7.349
-4.162 -4.810 5.054
Ba O B In
6 18 6 2
Direct
0.665 0.765 0.157
0.235 0.843 0.335
0.843 0.335 0.235
0.335 0.235 0.843
0.765 0.157 0.665
0.157 0.665 0.765
0.496 0.680 0.761
0.718 0.994 0.928
0.320 0.239 0.504
0.928 0.718 0.994
0.072 0.282 0.006
0.569 0.064 0.303
0.936 0.697 0.431
0.680 0.761 0.496
0.761 0.496 0.680
0.239 0.504 0.320
0.697 0.431 0.936
0.994 0.928 0.718
0.282 0.006 0.072
0.431 0.936 0.697
0.064 0.303 0.569
0.303 0.569 0.064
0.504 0.320 0.239
0.006 0.072 0.282
0.868 0.789 0.549
0.211 0.451 0.132
0.132 0.211 0.451
0.549 0.868 0.789
0.789 0.549 0.868
0.451 0.132 0.211
0.500 0.500 0.500
0.000 0.000 0.000
```

Values from the calculation:
SG ... No. 148
Calculated volume ... 14.4 A^3/atom
Raw formation energy ... -2.580 eV/atom

[7]
The following is a DFT calculation (PBE) of crystalline KNd3S4 at its relaxed geometry.

Cell and atoms, written as POSCAR:
```
KNd3S4
1.0
4.127 0.000 0.000
-2.064 3.574 0.000
0.000 0.000 28.098
S Nd K
8 6 2
Direct
0.333 0.667 0.441
0.000 0.000 0.828
0.000 0.000 0.328
0.667 0.333 0.941
0.333 0.667 0.059
0.667 0.333 0.559
0.000 0.000 0.172
0.000 0.000 0.672
0.667 0.333 0.383
0.000 0.000 0.500
0.667 0.333 0.117
0.000 0.000 0.000
0.333 0.667 0.617
0.333 0.667 0.883
0.333 0.667 0.250
0.667 0.333 0.750
```

Values from the calculation:
SG ... No. 194
Calculated volume ... 25.9 A^3/atom
Raw formation energy ... -1.926 eV/atom

[8]
The following is a DFT calculation (PBE) of crystalline Bi2Te2SeO10 at its relaxed geometry.

Cell and atoms, written as POSCAR:
```
Bi2Te2SeO10
1.0
8.973 -0.126 -0.071
5.499 7.092 -0.071
2.674 1.287 7.629
O Bi Te Se
20 4 4 2
Direct
0.000 0.749 0.752
0.602 0.583 0.194
0.315 0.091 0.996
0.259 0.710 0.428
0.251 0.000 0.748
0.398 0.417 0.806
0.579 0.025 0.624
0.749 0.000 0.252
0.741 0.290 0.572
0.290 0.741 0.072
0.909 0.685 0.504
0.710 0.259 0.928
0.000 0.251 0.248
0.583 0.602 0.694
0.025 0.579 0.124
0.091 0.315 0.496
0.975 0.421 0.876
0.685 0.909 0.004
0.421 0.975 0.376
0.417 0.398 0.306
0.521 0.840 0.856
0.479 0.160 0.144
0.840 0.521 0.356
0.160 0.479 0.644
0.186 0.051 0.525
0.814 0.949 0.475
0.051 0.186 0.025
0.949 0.814 0.975
0.607 0.393 0.750
0.393 0.607 0.250
```

Values from the calculation:
SG ... No. 15
Calculated volume ... 16.4 A^3/atom
Raw formation energy ... -1.047 eV/atom

[9]
The following is a DFT calculation (PBE) of crystalline Y5HoSb6 at its relaxed geometry.

Cell and atoms, written as POSCAR:
```
Y5HoSb6
1.0
-4.588 5.922 1.265
-3.590 -0.947 6.633
3.098 2.656 6.412
Y Sb Ho
5 6 1
Direct
0.000 0.667 0.667
0.000 0.333 0.333
0.500 0.167 0.666
0.500 0.500 0.000
0.500 0.833 0.334
0.249 0.917 0.668
0.249 0.249 0.000
0.751 0.083 0.332
0.249 0.585 0.332
0.751 0.415 0.668
0.751 0.751 0.000
0.000 0.000 0.000
```

Values from the calculation:
SG ... No. 12
Calculated volume ... 29.9 A^3/atom
Raw formation energy ... -1.157 eV/atom

[10]
The following is a DFT calculation (PBE) of crystalline PrPtF7 at its relaxed geometry.

Cell and atoms, written as POSCAR:
```
PrPtF7
1.0
-1.803 2.852 -4.586
-6.901 -6.045 -1.045
-10.716 2.359 5.680
F Pr Pt
28 4 4
Direct
0.059 0.742 0.172
0.050 0.283 0.039
0.432 0.707 0.916
0.559 0.258 0.328
0.405 0.966 0.231
0.235 0.486 0.139
0.068 0.707 0.416
0.532 0.728 0.130
0.758 0.032 0.049
0.550 0.717 0.461
0.950 0.717 0.961
0.932 0.293 0.584
0.468 0.272 0.870
0.941 0.258 0.828
0.258 0.968 0.451
0.032 0.272 0.370
0.735 0.514 0.361
0.968 0.728 0.630
0.095 0.966 0.731
0.905 0.034 0.269
0.595 0.034 0.769
0.441 0.742 0.672
0.568 0.293 0.084
0.742 0.032 0.549
0.242 0.968 0.951
0.265 0.486 0.639
0.450 0.283 0.539
0.765 0.514 0.861
0.739 0.811 0.264
0.239 0.189 0.236
0.261 0.189 0.736
0.761 0.811 0.764
0.744 0.273 0.457
0.256 0.727 0.543
0.244 0.727 0.043
0.756 0.273 0.957
```

Values from the calculation:
SG ... No. 14
Calculated volume ... 15.9 A^3/atom
Raw formation energy ... -2.577 eV/atom

[11]
The following is a DFT calculation (PBE) of crystalline NdTePd at its relaxed geometry.

Cell and atoms, written as POSCAR:
```
NdTePd
1.0
4.090 0.000 0.000
0.000 4.570 0.000
0.000 -2.285 3.958
Te Pd Nd
1 1 1
Direct
0.167 0.000 0.000
0.166 0.667 0.333
0.667 0.333 0.667
```

Values from the calculation:
SG ... No. 187
Calculated volume ... 24.7 A^3/atom
Raw formation energy ... -1.076 eV/atom

[12]
The following is a DFT calculation (PBE) of crystalline NbP2AuCl at its relaxed geometry.

Cell and atoms, written as POSCAR:
```
NbP2AuCl
1.0
-2.046 4.297 0.517
-0.995 0.090 -4.682
-4.247 -2.126 0.862
P Nb Au Cl
2 1 1 1
Direct
0.500 0.000 0.000
0.000 0.500 0.000
0.500 0.500 0.500
0.000 0.000 0.000
0.000 0.000 0.500
```

Values from the calculation:
Polymorph energy (0 for the lowest one) ... 776 meV per atom
SG ... No. 123
Calculated volume ... 22.1 A^3/atom
Raw formation energy ... 1.098 eV/atom

[13]
The following is a DFT calculation (PBE) of crystalline CaAcBi4O8 at its relaxed geometry.

Cell and atoms, written as POSCAR:
```
CaAcBi4O8
1.0
-1.363 3.661 6.074
-6.465 -0.546 3.171
-0.712 -3.404 6.184
Bi O Ac Ca
4 8 1 1
Direct
0.000 0.000 0.499
0.615 0.615 0.154
0.000 0.502 0.499
0.502 0.000 0.499
0.237 0.237 0.290
0.220 0.765 0.250
0.241 0.789 0.729
0.241 0.241 0.729
0.744 0.744 0.767
0.765 0.220 0.250
0.789 0.241 0.729
0.765 0.765 0.250
0.379 0.379 0.864
0.002 0.002 0.993
```

Values from the calculation:
SG ... No. 160
Calculated volume ... 18.5 A^3/atom
Raw formation energy ... -1.691 eV/atom

[14]
The following is a DFT calculation (PBE) of crystalline NdGdTl2 at its relaxed geometry.

Cell and atoms, written as POSCAR:
```
NdGdTl2
1.0
5.477 0.000 0.000
2.738 4.743 0.000
2.738 1.581 4.472
Gd Tl Nd
1 2 1
Direct
0.000 0.000 0.000
0.250 0.250 0.250
0.750 0.750 0.750
0.500 0.500 0.500
```

Values from the calculation:
Polymorph energy (0 for the lowest one) ... 13 meV per atom
SG ... No. 225
Calculated volume ... 29.0 A^3/atom
Energy relative to the elements ... -0.3783 eV per atom

[15]
The following is a DFT calculation (PBE) of crystalline Li4Ag3Ge at its relaxed geometry.

Cell and atoms, written as POSCAR:
```
Li4Ag3Ge
1.0
3.251 0.000 0.000
0.000 3.251 0.000
0.000 0.000 11.908
Ag Li Ge
3 4 1
Direct
0.500 0.500 0.752
0.500 0.500 0.248
0.500 0.500 0.500
0.000 0.000 0.374
0.000 0.000 0.626
0.000 0.000 0.121
0.000 0.000 0.879
0.500 0.500 0.000
```

Values from the calculation:
Polymorph energy (0 for the lowest one) ... 0 meV per atom
SG ... No. 123
Calculated volume ... 15.7 A^3/atom
Energy relative to the elements ... -0.2236 eV per atom

[16]
The following is a DFT calculation (PBE) of crystalline Cs5KRb2Pd at its relaxed geometry.

Cell and atoms, written as POSCAR:
```
Cs5KRb2Pd
1.0
10.293 -0.103 -0.149
-4.978 9.010 0.149
-4.978 -3.069 8.473
K Rb Cs Pd
1 2 5 1
Direct
0.000 0.770 0.770
0.500 0.749 0.249
0.500 0.249 0.749
0.000 0.236 0.236
0.000 0.762 0.236
0.000 0.236 0.762
0.474 0.236 0.236
0.526 0.762 0.762
0.000 0.000 0.000
```

Values from the calculation:
SG ... No. 107
Calculated volume ... 86.4 A^3/atom
Energy relative to the elements ... 0.0224 eV per atom

[17]
The following is a DFT calculation (PBE) of crystalline YTa2As at its relaxed geometry.

Cell and atoms, written as POSCAR:
```
YTa2As
1.0
5.439 -0.003 -0.004
2.030 5.046 0.004
-3.244 -3.248 2.917
As Y Ta
1 1 2
Direct
0.766 0.266 0.500
0.505 0.505 0.000
0.993 0.993 0.000
0.236 0.736 0.500
```

Values from the calculation:
SG ... No. 44
Calculated volume ... 20.0 A^3/atom
Energy relative to the elements ... 0.0969 eV per atom

[18]
The following is a DFT calculation (PBE) of crystalline AgMoP2 at its relaxed geometry.

Cell and atoms, written as POSCAR:
```
AgMoP2
1.0
2.931 0.000 0.000
0.000 2.931 0.000
0.000 0.000 7.662
P Mo Ag
2 1 1
Direct
0.000 0.000 0.955
0.500 0.500 0.255
0.500 0.500 0.786
0.000 0.000 0.504
```

Values from the calculation:
Polymorph energy (0 for the lowest one) ... 448 meV per atom
SG ... No. 99
Calculated volume ... 16.5 A^3/atom
Energy relative to the elements ... 0.3845 eV per atom

[19]
The following is a DFT calculation (PBE) of crystalline NbHOsSe2 at its relaxed geometry.

Cell and atoms, written as POSCAR:
```
NbHOsSe2
1.0
-0.608 -4.379 -1.759
1.285 -2.024 4.595
-4.570 0.103 1.323
H Se Os Nb
1 2 1 1
Direct
0.500 0.500 0.500
0.500 0.000 0.000
0.000 0.000 0.500
0.000 0.000 0.000
0.000 0.500 0.000
```

Values from the calculation:
SG ... No. 123
Calculated volume ... 23.5 A^3/atom
Electronic total energy ... -5.050 eV/atom

[20]
The following is a DFT calculation (PBE) of crystalline P5Cl3 at its relaxed geometry.

Cell and atoms, written as POSCAR:
```
P5Cl3
1.0
9.177 2.215 0.000
-5.009 6.947 0.000
-2.084 -4.581 7.334
P Cl
10 6
Direct
0.116 0.410 0.349
0.881 0.571 0.646
0.266 0.560 0.651
0.059 0.617 0.500
0.895 0.195 0.500
0.621 0.137 0.346
0.736 0.425 0.354
0.775 0.291 0.654
0.289 0.607 0.273
0.516 0.834 0.727
0.680 0.830 0.953
0.467 0.038 0.859
0.835 0.935 0.500
0.109 0.679 0.141
0.227 0.378 0.047
0.522 0.493 0.500
```

Values from the calculation:
Polymorph energy (0 for the lowest one) ... 0 meV per atom
SG ... No. 8
Calculated volume ... 34.3 A^3/atom
Raw formation energy ... -0.143 eV/atom